Record 1
First-principles (PBE-GGA) data for a geometry-optimized VCrSb structure, as listed in Alexandria via LeMat-Bulk.

a = 3.246 Å, b = 3.246 Å, c = 4.903 Å
α = 109.33°, β = 109.33°, γ = 90.00°
Sites, in units of the cell vectors:
Sb: 0.618 0.618 0.236
V: 0.937 0.937 0.874
Cr: 0.295 0.295 0.590

Properties
Space group: I4mm (107)
Final energy (eV/cell): -22.33
Size of the total moment (μB per atom): 0.0001

Record 2
First-principles (PBE-GGA) data for a geometry-optimized Dy2TmTh structure, as listed in Alexandria via LeMat-Bulk.

a = 5.641 Å, b = 5.641 Å, c = 5.641 Å
α = 60.00°, β = 60.00°, γ = 60.00°
Sites, in units of the cell vectors:
Dy: 0.250 0.250 0.250
Dy: 0.750 0.750 0.750
Tm: 0.000 0.000 0.000
Th: 0.500 0.500 0.500

Properties
Space group: Fm-3m (225)
Energy relative to the lowest polymorph listed for this composition (eV per atom): 0.1404
Final energy (eV/cell): -20.43
Size of the total moment (μB per atom): 0.0005
Energy of formation (eV/atom): 0.1670

Record 3
First-principles (PBE-GGA) data for a geometry-optimized ScCr2Br structure, as listed in Alexandria via LeMat-Bulk.

a = 4.540 Å, b = 3.213 Å, c = 4.866 Å
α = 87.56°, β = 90.00°, γ = 90.00°
Sites, in units of the cell vectors:
Br: 0.500 0.750 0.750
Cr: 0.000 0.765 0.056
Cr: 0.000 0.735 0.444
Sc: 0.500 0.250 0.250

Properties
Space group: P2/m (10)
Energy relative to the lowest polymorph listed for this composition (eV per atom): 0.3690
Final energy (eV/cell): -25.82
Size of the total moment (μB per atom): 0.0000

Repeat the third record exactly.
First-principles (PBE-GGA) data for a geometry-optimized ScCr2Br structure, as listed in Alexandria via LeMat-Bulk.

a = 4.540 Å, b = 3.213 Å, c = 4.866 Å
α = 87.56°, β = 90.00°, γ = 90.00°
Sites, in units of the cell vectors:
Br: 0.500 0.750 0.750
Cr: 0.000 0.765 0.056
Cr: 0.000 0.735 0.444
Sc: 0.500 0.250 0.250

Properties
Space group: P2/m (10)
Energy relative to the lowest polymorph listed for this composition (eV per atom): 0.3690
Final energy (eV/cell): -25.82
Size of the total moment (μB per atom): 0.0000

Question: The lowest final energy belongs to which entry?
Answer: ScCr2Br

Question: The lowest final energy belongs to which entry?
Answer: ScCr2Br